{
  "formula": "Cs2HgSe2",
  "functional": "PBE",
  "state": "optimized geometry",
  "energy_ev_per_atom": -2.499,
  "dos_at_fermi_per_ev_cell": 0.000,
  "density_g_cm3": 4.68,
  "e_above_lowest_polymorph_mev_per_atom": 196,
  "raw_formation_energy_ev_per_atom": -0.703,
  "space_group": "No. 139",
  "lattice_angstrom": [[7.126, 0.000, 0.000], [0.000, 7.126, 0.000], [0.000, 0.000, 8.724]],
  "species": ["Cs", "Cs", "Cs", "Cs", "Hg", "Hg", "Se", "Se", "Se", "Se"],
  "fractional_positions": [[0.000, 0.500, 0.250], [0.000, 0.500, 0.750], [0.500, 0.000, 0.250], [0.500, 0.000, 0.750], [0.000, 0.000, 0.000], [0.500, 0.500, 0.500], [0.000, 0.000, 0.358], [0.000, 0.000, 0.642], [0.500, 0.500, 0.142], [0.500, 0.500, 0.858]]
}

---

{
  "formula": "Rb4Sm3SnS8",
  "functional": "PBE",
  "state": "optimized geometry",
  "energy_ev_per_atom": -4.987,
  "dos_at_fermi_per_ev_cell": 1.699,
  "density_g_cm3": 4.22,
  "raw_formation_energy_ev_per_atom": -1.546,
  "space_group": "No. 166",
  "lattice_angstrom": [[4.156, 2.399, 7.691], [-4.156, 2.399, 7.691], [0.000, -4.799, 7.691]],
  "species": ["Rb", "Rb", "Rb", "Rb", "Sm", "Sm", "Sm", "Sn", "S", "S", "S", "S", "S", "S", "S", "S"],
  "fractional_positions": [[0.000, 0.000, 0.000], [0.000, 0.500, 0.500], [0.500, 0.000, 0.500], [0.500, 0.500, 0.000], [0.000, 0.000, 0.500], [0.000, 0.500, 0.000], [0.500, 0.000, 0.000], [0.500, 0.500, 0.500], [0.232, 0.232, 0.232], [0.235, 0.729, 0.729], [0.271, 0.271, 0.765], [0.271, 0.765, 0.271], [0.729, 0.235, 0.729], [0.729, 0.729, 0.235], [0.765, 0.271, 0.271], [0.768, 0.768, 0.768]]
}

---

{
  "formula": "KDy2RuO8",
  "functional": "PBE",
  "state": "optimized geometry",
  "energy_ev_per_atom": -6.802,
  "dos_at_fermi_per_ev_cell": 3.086,
  "density_g_cm3": 6.57,
  "raw_formation_energy_ev_per_atom": -1.865,
  "space_group": "No. 2",
  "lattice_angstrom": [[4.105, 0.000, 0.000], [0.060, 5.281, 0.000], [1.848, 0.011, 6.911]],
  "species": ["K", "Dy", "Dy", "Ru", "O", "O", "O", "O", "O", "O", "O", "O"],
  "fractional_positions": [[0.000, 0.000, 0.000], [0.381, 0.518, 0.288], [0.619, 0.482, 0.712], [0.000, 0.000, 0.500], [0.179, 0.495, 0.003], [0.186, 0.321, 0.585], [0.210, 0.787, 0.638], [0.356, 0.956, 0.270], [0.644, 0.044, 0.730], [0.790, 0.213, 0.362], [0.814, 0.679, 0.415], [0.821, 0.505, 0.997]]
}